AlIn2I | the Alexandria database | GGA-PBE | relaxed; relative energy among the computed polymorphs = 0 meV per atom; formation energy (no corrections) = 0.07 eV/atom
1.0
6.6995 0.0000 0.0000
0.0000 6.6995 0.0000
0.0000 0.0000 13.9809
Al In I
4 8 4
Direct
0.0000 0.0000 0.0000 Al
0.0000 0.5000 0.2500 Al
0.5000 0.0000 0.7500 Al
0.5000 0.5000 0.5000 Al
0.1757 0.2500 0.1250 In
0.2500 0.6757 0.3750 In
0.2500 0.8243 0.8750 In
0.3243 0.2500 0.6250 In
0.6757 0.7500 0.6250 In
0.7500 0.1757 0.8750 In
0.7500 0.3243 0.3750 In
0.8243 0.7500 0.1250 In
0.0000 0.0000 0.5000 I
0.0000 0.5000 0.7500 I
0.5000 0.0000 0.2500 I
0.5000 0.5000 0.0000 I

Dy4Y2Ge3O2 | the Alexandria database | GGA-PBE | relaxed; formation energy (no corrections) = -1.58 eV/atom
1.0
-2.2733 2.2733 11.8079
2.2733 -2.2733 11.8079
2.2733 2.2733 -11.8079
Dy Y Ge O
4 2 3 2
Direct
0.0809 0.5809 0.5000 Dy
0.4191 0.9191 0.5000 Dy
0.5809 0.0809 0.5000 Dy
0.9191 0.4191 0.5000 Dy
0.1983 0.1983 0.0000 Y
0.8017 0.8017 0.0000 Y
0.3240 0.3240 0.0000 Ge
0.5000 0.5000 0.0000 Ge
0.6760 0.6760 0.0000 Ge
0.0978 0.0978 0.0000 O
0.9022 0.9022 0.0000 O

TaCu2W | the Alexandria database | GGA-PBE | relaxed; relative energy among the computed polymorphs = 197 meV per atom; calculated formation energy = 32.6 kJ/mol of atoms
1.0
2.7549 0.0000 0.0000
-1.3775 2.3858 0.0000
0.0000 0.0000 27.4663
Ta Cu W
3 6 3
Direct
0.0000 0.0000 0.0000 Ta
0.3333 0.6667 0.6667 Ta
0.6667 0.3333 0.3333 Ta
0.0000 0.0000 0.2484 Cu
0.0000 0.0000 0.7516 Cu
0.3333 0.6667 0.4183 Cu
0.3333 0.6667 0.9151 Cu
0.6667 0.3333 0.0849 Cu
0.6667 0.3333 0.5817 Cu
0.0000 0.0000 0.5000 W
0.3333 0.6667 0.1667 W
0.6667 0.3333 0.8333 W

MnCoRh2N | the Alexandria database | GGA-PBE | relaxed; formation energy (no corrections) = 0.06 eV/atom
1.0
4.1049 0.0000 0.0000
0.0000 4.1049 0.0000
0.0000 0.0000 3.7132
Mn Co Rh N
1 1 2 1
Direct
0.0000 0.0000 0.0000 Mn
0.5000 0.5000 0.0000 Co
0.0000 0.5000 0.5000 Rh
0.5000 0.0000 0.5000 Rh
0.5000 0.5000 0.5000 N

NiP3 | the Alexandria database | GGA-PBE | relaxed; relative energy among the computed polymorphs = 782 meV per atom; calculated formation energy = 46.3 kJ/mol of atoms
1.0
5.9505 0.0000 0.0000
0.0000 5.9505 0.0000
0.0000 0.0000 5.9505
Ni P
4 12
Direct
0.0000 0.0000 0.0000 Ni
0.0000 0.5000 0.5000 Ni
0.5000 0.0000 0.5000 Ni
0.5000 0.5000 0.0000 Ni
0.0000 0.0000 0.5000 P
0.0000 0.5000 0.0000 P
0.2500 0.2500 0.2500 P
0.2500 0.2500 0.7500 P
0.2500 0.7500 0.2500 P
0.2500 0.7500 0.7500 P
0.5000 0.0000 0.0000 P
0.5000 0.5000 0.5000 P
0.7500 0.2500 0.2500 P
0.7500 0.2500 0.7500 P
0.7500 0.7500 0.2500 P
0.7500 0.7500 0.7500 P

Ba6As2AuCl3 | the Alexandria database | GGA-PBE | relaxed; formation energy (no corrections) = -1.52 eV/atom
1.0
4.1050 -7.0978 0.0000
4.1050 7.0978 0.0000
-2.7536 0.0000 7.7239
Ba As Au Cl
6 2 1 3
Direct
0.0827 0.4224 0.7671 Ba
0.2370 0.2370 0.2383 Ba
0.4224 0.0827 0.7671 Ba
0.5776 0.9173 0.2329 Ba
0.7630 0.7630 0.7617 Ba
0.9173 0.5776 0.2329 Ba
0.1660 0.8340 0.0000 As
0.8340 0.1660 0.0000 As
0.5000 0.5000 0.0000 Au
0.0000 0.0000 0.5000 Cl
0.3243 0.6757 0.5000 Cl
0.6757 0.3243 0.5000 Cl

PtAu | the Alexandria database | GGA-PBE | relaxed; calculated formation energy = 10.7 kJ/mol of atoms
1.0
9.3772 0.0000 0.0000
-4.6886 8.1209 0.0000
0.0000 0.0000 2.8027
Pt Au
6 6
Direct
0.1409 0.5440 0.2500 Pt
0.4032 0.8591 0.2500 Pt
0.4560 0.5968 0.2500 Pt
0.5440 0.4032 0.7500 Pt
0.5968 0.1409 0.7500 Pt
0.8591 0.4560 0.7500 Pt
0.1095 0.8046 0.7500 Au
0.1954 0.3049 0.7500 Au
0.3049 0.1095 0.2500 Au
0.6951 0.8905 0.7500 Au
0.8046 0.6951 0.2500 Au
0.8905 0.1954 0.2500 Au

Pu2Tl3GeTe6 | the Alexandria database | GGA-PBE | relaxed; formation energy (no corrections) = -0.57 eV/atom
1.0
3.8768 -6.7125 0.0000
3.8768 6.7125 0.0000
-2.5803 0.0000 8.0174
Pu Tl Ge Te
2 3 1 6
Direct
0.1665 0.8335 0.0000 Pu
0.8335 0.1665 0.0000 Pu
0.0000 0.0000 0.5000 Tl
0.3309 0.6691 0.5000 Tl
0.6691 0.3309 0.5000 Tl
0.5000 0.5000 0.0000 Ge
0.1003 0.4308 0.7916 Te
0.2388 0.2388 0.2089 Te
0.4308 0.1003 0.7916 Te
0.5692 0.8997 0.2084 Te
0.7612 0.7612 0.7911 Te
0.8997 0.5692 0.2084 Te

TlSbOs2 | the Alexandria database | GGA-PBE | relaxed; relative energy among the computed polymorphs = 535 meV per atom; formation energy (no corrections) = 1.00 eV/atom
1.0
3.0656 0.0000 0.0000
0.0000 4.3618 0.0000
-0.8022 0.0000 5.9406
Tl Sb Os
1 1 2
Direct
0.0000 0.0000 0.0000 Tl
0.5000 0.0000 0.5000 Sb
0.1725 0.5000 0.3035 Os
0.8275 0.5000 0.6965 Os

Dy4TmCu | the Alexandria database | GGA-PBE | relaxed; calculated formation energy = -5.5 kJ/mol of atoms
1.0
3.4893 0.0000 0.0000
0.0000 3.4893 0.0000
0.0000 0.0000 13.6831
Dy Tm Cu
4 1 1
Direct
0.0000 0.0000 0.1256 Dy
0.0000 0.0000 0.8744 Dy
0.5000 0.5000 0.3180 Dy
0.5000 0.5000 0.6820 Dy
0.0000 0.0000 0.5000 Tm
0.5000 0.5000 0.0000 Cu

YPa2TcC4 | the Alexandria database | GGA-PBE | relaxed; calculated formation energy = -14.5 kJ/mol of atoms
1.0
1.7975 -5.9143 0.0000
1.7975 5.9143 0.0000
0.0000 0.0000 11.8549
Y Pa Tc C
2 4 2 8
Direct
0.1232 0.8768 0.7500 Y
0.8768 0.1232 0.2500 Y
0.3679 0.6321 0.5432 Pa
0.3679 0.6321 0.9568 Pa
0.6321 0.3679 0.0432 Pa
0.6321 0.3679 0.4568 Pa
0.1415 0.8585 0.2500 Tc
0.8585 0.1415 0.7500 Tc
0.0000 0.0000 0.0000 C
0.0000 0.0000 0.5000 C
0.2625 0.7375 0.1279 C
0.2625 0.7375 0.3721 C
0.4364 0.5636 0.7500 C
0.5636 0.4364 0.2500 C
0.7375 0.2625 0.6279 C
0.7375 0.2625 0.8721 C

NdThSn | the Alexandria database | GGA-PBE | relaxed; relative energy among the computed polymorphs = 364 meV per atom; calculated formation energy = -16.4 kJ/mol of atoms
1.0
5.3931 0.0000 0.0000
-2.6965 4.6705 0.0000
0.0000 0.0000 3.6777
Nd Th Sn
1 1 1
Direct
0.0000 0.0000 0.0000 Nd
0.6667 0.3333 0.4511 Th
0.3333 0.6667 0.7514 Sn

Result set for volume: 627.5; 244.1; 180.5; 62.6; 210.7; 450.1; 213.4; 417.3; 79.4; 166.6; 252.1; 92.6 Å³ per cell, one per record in the order listed.